1.
Zn4Ga2Ni | PBE | optimized geometry Values from VASP.

Electronic total energy: -15.58 eV per cell
ΔH_f (0 K): 193 meV/atom

Geometry as Quantum ESPRESSO input:
```
&SYSTEM
  ibrav = 0, nat = 7, ntyp = 3
/
ATOMIC_SPECIES
Ni 58.69 Ni.upf
Zn 65.41 Zn.upf
Ga 69.72 Ga.upf
CELL_PARAMETERS angstrom
4.7325 0.0000 0.0000
0.0000 4.7325 0.0000
2.3663 2.3663 6.1437
ATOMIC_POSITIONS angstrom
Ni 0.0000 0.0000 0.0000
Zn 2.3663 2.3663 3.8409
Zn 4.7325 4.7325 2.3028
Zn 0.0000 2.3663 0.0000
Zn 2.3663 0.0000 0.0000
Ga 2.3663 2.3663 1.3542
Ga 4.7325 4.7325 4.7895
```

***

2.
ZnGaNi2 | PBE | optimized geometry Values from VASP.

Electronic total energy: -17.13 eV per cell
ΔH_f (0 K): -316 meV/atom

Geometry as Quantum ESPRESSO input:
```
&SYSTEM
  ibrav = 0, nat = 4, ntyp = 3
/
ATOMIC_SPECIES
Ni 58.69 Ni.upf
Zn 65.41 Zn.upf
Ga 69.72 Ga.upf
CELL_PARAMETERS angstrom
-2.1722 -0.1388 -2.0051
2.0096 -0.1029 -2.1700
0.0607 -5.5979 0.3217
ATOMIC_POSITIONS angstrom
Ni 0.0459 -4.2346 0.2434
Ni 0.0148 -1.3633 0.0783
Zn -0.0509 -2.9198 -1.9267
Ga -0.0813 -0.1208 -2.0875
```